Density functional theory data (PBE) for a relaxed structure of KZr3N.

Structure (CIF):
```
data_KZr3N
_symmetry_space_group_name_H-M 'P m -3 m'
_symmetry_Int_Tables_number 221
_symmetry_space_group_name_Hall '-P 4 2 3'
_cell_length_a 4.681
_cell_length_b 4.681
_cell_length_c 4.681
_cell_angle_alpha 90.00
_cell_angle_beta 90.00
_cell_angle_gamma 90.00
loop_
_atom_site_label
_atom_site_fract_x
_atom_site_fract_y
_atom_site_fract_z
K1 0.000 0.000 0.000
Zr1 0.000 0.500 0.500
N1 0.500 0.500 0.500
```

Calculated values
For the raw total energy, the calculation gives -6.8854 eV per atom.